Below is a relaxed structure of YScGa2, with properties calculated at the PBE level.

Cell: 7.6381 7.6381 6.2810 Å, 52.55 52.55 90.00°
Positions (direct):
Sc  0.5000  0.5000  0.0000
Sc  0.2500  0.7500  0.5000
Ga  0.8750  0.8588  0.7500
Ga  0.1412  0.6250  0.2500
Ga  0.3750  0.3912  0.7500
Ga  0.6088  0.1250  0.2500
Y  0.7500  0.2500  0.5000
Y  0.0000  0.0000  0.0000

Calculated values
The value obtained for the calculated volume is 187.1 Å³ per cell. The formation energy is -227 meV/atom. As for the relative energy among the computed polymorphs: 390 meV per atom. The calculation puts the theoretical density at 4852 kg/m³.